Compound: Li2V3CoO8
Source: Alexandria via LeMat-Bulk
Functional: SCAN
Structure: single point on PBEsol structure

Lattice parameters (Å, degrees): 5.7439 5.7181 8.1013 89.99 90.32 90.01
Last column: nearest neighbours and their distance in Å.
Fractional coordinates of all 28 atoms:
O 0.9934 0.4997 0.7535  1 Li 1.87, 3 V 1.94
O 0.5198 0.4998 0.7652  1 Li 1.90, 2 V 1.93, 1 Co 1.95
O 0.9714 0.9998 0.7438  2 V 1.94, 1 Li 1.94, 1 Co 1.94
O 0.7424 0.7703 0.5144  2 V 1.93-1.94, 1 Li 1.94, 1 Co 1.94
O 0.7423 0.2302 0.5138  2 V 1.93-1.94, 1 Li 1.94, 1 Co 1.94
O 0.4925 0.9995 0.2539  1 Li 1.87, 3 V 1.94
O 0.4716 0.4995 0.2437  2 V 1.93-1.94, 1 Li 1.94, 1 Co 1.94
O 0.2446 0.2241 0.4902  1 Li 1.90, 2 V 1.93, 1 Co 1.95
O 0.2445 0.7766 0.4896  1 Li 1.90, 2 V 1.93, 1 Co 1.95
O 0.5296 0.9997 0.7355  1 Li 1.91, 3 V 1.96-1.97
O 0.7445 0.2762 0.9897  1 Li 1.90, 2 V 1.93, 1 Co 1.95
O 0.2423 0.7301 0.0137  2 V 1.94, 1 Li 1.94, 1 Co 1.94
O 0.7448 0.7246 0.9904  1 Li 1.90, 2 V 1.93, 1 Co 1.95
O 0.0199 0.9995 0.2654  1 Li 1.90, 2 V 1.93, 1 Co 1.95
O 0.0295 0.4995 0.2355  1 Li 1.91, 3 V 1.97
O 0.2423 0.2704 0.0143  2 V 1.94, 1 Li 1.94, 1 Co 1.94
V 0.7545 0.7404 0.7528  6 O 1.93-1.97
V 0.4968 0.0001 0.4939  6 O 1.93-1.96
V 0.2544 0.7578 0.2517  6 O 1.93-1.97
V 0.2541 0.2404 0.2525  6 O 1.93-1.97
V 0.9963 0.5000 0.9934  6 O 1.93-1.97
V 0.7546 0.2587 0.7520  6 O 1.93-1.97
Co 0.9900 0.0003 0.5049  6 O 1.94-1.95
Co 0.4901 0.5003 0.0048  6 O 1.94-1.95
Li 0.7586 0.5007 0.3703  4 O 1.91-1.94
Li 0.2586 0.0007 0.8702  4 O 1.91-1.94
Li 0.2585 0.5005 0.6203  4 O 1.87-1.90
Li 0.7581 0.0005 0.1209  4 O 1.87-1.90

Computed properties:
formation energy (no corrections): -2.3886 eV/atom

Compound: LaNi2Pb
Source: Alexandria via LeMat-Bulk
Functional: SCAN
Structure: single point on PBEsol structure

Lattice parameters (Å, degrees): 3.3826 3.3830 6.6667 89.69 90.00 90.00
Last column: nearest neighbours and their distance in Å.
Fractional coordinates of all 4 atoms:
Pb 0.5000 0.5000 0.0000  8 Ni 2.78-2.79
Ni 0.0000 0.9992 0.2140  4 Pb 2.78-2.79, 1 Ni 2.85, 4 La 3.05-3.07
Ni 0.0000 0.0008 0.7860  4 Pb 2.78-2.79, 1 Ni 2.85, 4 La 3.05-3.07
La 0.5000 0.5000 0.5000  8 Ni 3.05-3.07, 2 Pb 3.33, 4 La 3.38

Computed properties:
energy relative to the elements: 55 meV per atom

Compound: CsAgBr2
Source: Alexandria via LeMat-Bulk
Functional: SCAN
Structure: single point on PBEsol structure

Lattice parameters (Å, degrees): 5.1850 5.1850 10.0946 90.00 90.00 90.00
Last column: nearest neighbours and their distance in Å.
Fractional coordinates of all 8 atoms:
Br 0.5000 0.5000 0.0000  4 Ag 2.79
Br 0.0000 0.5000 0.6422  1 Ag 2.59
Br 0.5000 0.0000 0.3578  1 Ag 2.59
Br 0.0000 0.0000 0.0000  4 Ag 2.79
Ag 0.5000 0.0000 0.1016  5 Br 2.59-2.79
Ag 0.0000 0.5000 0.8984  5 Br 2.59-2.79
Cs 0.5000 0.0000 0.7103  9 Br 3.56-3.91, 1 Ag 3.95
Cs 0.0000 0.5000 0.2897  9 Br 3.56-3.91, 1 Ag 3.95

Computed properties:
distance to the lowest polymorph of the same formula: 0.000 eV/atom
formation energy (no corrections): -1.2121 eV/atom

Compound: BaTl2Se
Source: Alexandria via LeMat-Bulk
Functional: SCAN
Structure: single point on PBEsol structure

Lattice parameters (Å, degrees): 4.5300 4.5300 7.1071 108.46 108.46 90.38
Last column: nearest neighbours and their distance in Å.
Fractional coordinates of all 4 atoms:
Tl 0.5000 0.0000 0.5000  4 Tl 3.19-3.21, 2 Ba 3.56, 2 Se 3.56
Tl 0.0000 0.5000 0.5000  4 Tl 3.19-3.21, 2 Ba 3.56, 2 Se 3.56
Se 0.5000 0.5000 0.0000  4 Ba 3.19-3.21, 4 Tl 3.56
Ba 0.0000 0.0000 0.0000  4 Se 3.19-3.21, 4 Tl 3.56

Computed properties:
formation energy (no corrections): -0.8802 eV/atom

Compound: Li2TlGa
Source: Alexandria via LeMat-Bulk
Functional: SCAN
Structure: single point on PBEsol structure

Lattice parameters (Å, degrees): 4.1049 4.1049 10.1513 101.66 101.66 90.00
Last column: nearest neighbours and their distance in Å.
Fractional coordinates of all 8 atoms:
Tl 0.2500 0.7500 0.5000  4 Li 2.85, 4 Ga 2.90
Tl 0.0000 0.0000 0.0000  4 Li 2.85, 4 Ga 2.90
Ga 0.5000 0.5000 0.0000  4 Li 2.81, 4 Tl 2.90
Ga 0.7500 0.2500 0.5000  4 Li 2.81, 4 Tl 2.90
Li 0.1250 0.1398 0.7500  2 Ga 2.81, 4 Li 2.82-2.99, 2 Tl 2.85
Li 0.8602 0.3750 0.2500  2 Ga 2.81, 4 Li 2.82-2.99, 2 Tl 2.85
Li 0.3898 0.8750 0.2500  2 Ga 2.81, 4 Li 2.82-2.99, 2 Tl 2.85
Li 0.6250 0.6102 0.7500  2 Ga 2.81, 4 Li 2.82-2.99, 2 Tl 2.85

Computed properties:
distance to the lowest polymorph of the same formula: 0.249 eV/atom
energy relative to the elements: -49 meV per atom

Compound: Zr2InOsCl
Source: Alexandria via LeMat-Bulk
Functional: SCAN
Structure: single point on PBEsol structure

Lattice parameters (Å, degrees): 4.4999 5.0932 5.0932 90.00 90.00 90.00
Last column: nearest neighbours and their distance in Å.
Fractional coordinates of all 5 atoms:
Zr 0.0000 0.5000 0.0000  2 Os 2.55
Zr 0.0000 0.0000 0.5000  2 Os 2.55
Cl 0.5000 0.0000 0.0000  2 Os 2.25
Os 0.0000 0.0000 0.0000  2 Cl 2.25
In 0.5000 0.5000 0.5000  8 Zr 3.40, 4 Cl 3.60

Computed properties:
formation energy (no corrections): 0.4063 eV/atom

Compound: LaY2Zn2
Source: Alexandria via LeMat-Bulk
Functional: SCAN
Structure: single point on PBEsol structure

Lattice parameters (Å, degrees): 3.7395 8.1463 8.1463 90.00 90.00 90.00
Last column: nearest neighbours and their distance in Å.
Fractional coordinates of all 10 atoms:
Zn 0.0000 0.3745 0.8745  1 Zn 2.89, 6 Y 3.03-3.05, 2 La 3.22
Zn 0.0000 0.6255 0.1255  1 Zn 2.89, 6 Y 3.03-3.05, 2 La 3.22
Zn 0.0000 0.1255 0.3745  1 Zn 2.89, 6 Y 3.03-3.05, 2 La 3.22
Zn 0.0000 0.8745 0.6255  1 Zn 2.89, 6 Y 3.03-3.05, 2 La 3.22
Y 0.5000 0.1670 0.6670  6 Zn 3.03-3.05
Y 0.5000 0.8330 0.3330  6 Zn 3.03-3.05
Y 0.5000 0.3330 0.1670  6 Zn 3.03-3.05
Y 0.5000 0.6670 0.8330  6 Zn 3.03-3.05
La 0.0000 0.5000 0.5000  4 Zn 3.22, 8 Y 3.56
La 0.0000 0.0000 0.0000  4 Zn 3.22, 8 Y 3.56

Computed properties:
distance to the lowest polymorph of the same formula: 0.000 eV/atom
energy relative to the elements: -284 meV per atom

Compound: Cd2Cu
Source: Alexandria via LeMat-Bulk
Functional: SCAN
Structure: single point on PBEsol structure

Lattice parameters (Å, degrees): 2.9467 2.9467 12.4862 96.78 96.78 90.00
Last column: nearest neighbours and their distance in Å.
Fractional coordinates of all 6 atoms:
Cd 0.4275 0.4275 0.8551  4 Cu 2.74, 6 Cd 2.95-2.98
Cd 0.8225 0.3225 0.6449  4 Cu 2.74, 6 Cd 2.95-2.98
Cd 0.6775 0.1775 0.3551  4 Cu 2.74, 6 Cd 2.95-2.98
Cd 0.5725 0.5725 0.1449  4 Cu 2.74, 6 Cd 2.95-2.98
Cu 0.0000 0.0000 0.0000  8 Cd 2.74, 4 Cu 2.95
Cu 0.2500 0.7500 0.5000  8 Cd 2.74, 4 Cu 2.95

Computed properties:
energy relative to the elements: 85 meV per atom

Compound: TaNbV2
Source: Alexandria via LeMat-Bulk
Functional: SCAN
Structure: single point on PBEsol structure

Lattice parameters (Å, degrees): 4.4304 4.4304 4.4304 60.00 60.00 60.00
Last column: nearest neighbours and their distance in Å.
Fractional coordinates of all 4 atoms:
V 0.2500 0.2500 0.2500  4 Nb 2.71, 4 Ta 2.71
V 0.7500 0.7500 0.7500  4 Ta 2.71, 4 Nb 2.71
Ta 0.5000 0.5000 0.5000  8 V 2.71
Nb 0.0000 0.0000 0.0000  8 V 2.71

Computed properties:
energy relative to the elements: 43 meV per atom

Compound: SrAlN3
Source: Alexandria via LeMat-Bulk
Functional: SCAN
Structure: single point on PBEsol structure

Lattice parameters (Å, degrees): 4.7516 4.7516 4.7516 90.00 90.00 90.00
Last column: nearest neighbours and their distance in Å.
Fractional coordinates of all 5 atoms:
Sr 0.0000 0.0000 0.0000  6 N 2.38
N 0.5000 0.0000 0.0000  2 Sr 2.38
N 0.0000 0.5000 0.0000  2 Sr 2.38
N 0.0000 0.0000 0.5000  2 Sr 2.38
Al 0.5000 0.5000 0.5000  12 N 3.36

Computed properties:
formation energy (no corrections): 2.0110 eV/atom

Compound: Sc5Hg
Source: Alexandria via LeMat-Bulk
Functional: SCAN
Structure: single point on PBEsol structure

Lattice parameters (Å, degrees): 3.2456 3.2456 12.8890 90.00 90.00 90.00
Last column: nearest neighbours and their distance in Å.
Fractional coordinates of all 6 atoms:
Sc 0.0000 0.0000 0.6520  4 Hg 3.02, 8 Sc 3.21-3.25
Sc 0.5000 0.5000 0.1734  12 Sc 3.20-3.25
Sc 0.5000 0.5000 0.8266  12 Sc 3.20-3.25
Sc 0.0000 0.0000 0.3480  4 Hg 3.02, 8 Sc 3.21-3.25
Sc 0.0000 0.0000 0.0000  12 Sc 3.20-3.25
Hg 0.5000 0.5000 0.5000  8 Sc 3.02, 4 Hg 3.25

Computed properties:
distance to the lowest polymorph of the same formula: 0.003 eV/atom
energy relative to the elements: -185 meV per atom

Compound: Sc3OsF
Source: Alexandria via LeMat-Bulk
Functional: SCAN
Structure: single point on PBEsol structure

Lattice parameters (Å, degrees): 4.3030 4.3030 4.3030 90.00 90.00 90.00
Last column: nearest neighbours and their distance in Å.
Fractional coordinates of all 5 atoms:
Os 0.5000 0.5000 0.5000  12 Sc 3.04
F 0.0000 0.0000 0.0000  6 Sc 2.15
Sc 0.0000 0.0000 0.5000  2 F 2.15
Sc 0.0000 0.5000 0.0000  2 F 2.15
Sc 0.5000 0.0000 0.0000  2 F 2.15

Computed properties:
distance to the lowest polymorph of the same formula: 0.000 eV/atom
formation energy (no corrections): -1.0215 eV/atom

Compound: BeFe2P
Source: Alexandria via LeMat-Bulk
Functional: SCAN
Structure: single point on PBEsol structure

Lattice parameters (Å, degrees): 3.7000 3.7000 3.7000 60.00 60.00 60.00
Last column: nearest neighbours and their distance in Å.
Fractional coordinates of all 4 atoms:
Be 0.0000 0.0000 0.0000  8 Fe 2.27
Fe 0.7500 0.7500 0.7500  4 Be 2.27, 4 P 2.27
Fe 0.2500 0.2500 0.2500  4 Be 2.27, 4 P 2.27
P 0.5000 0.5000 0.5000  8 Fe 2.27

Computed properties:
distance to the lowest polymorph of the same formula: 0.000 eV/atom
energy relative to the elements: -372 meV per atom

Per-record M_tot, μB per formula unit: 4.0, 0.0, 0.0, 0.0, 0.0, 0.0, 0.0, 0.0, 0.0, 6.0, 1.2, 0.0, 0.0
Per-record density of states at the Fermi level, states/eV per cell: 11.41, 2.48, 0.00, 1.41, 4.21, 5.23, 9.47, 1.85, 7.44, 2.77, 6.13, 5.73, 2.57